# CaSb2N (GGA-PBEsol, relaxed)
data_CaSb2N
_symmetry_space_group_name_H-M 'I -4 2 d'
_symmetry_Int_Tables_number 122
_symmetry_space_group_name_Hall 'I -4 2bw'
_cell_length_a 6.963
_cell_length_b 6.963
_cell_length_c 7.705
_cell_angle_alpha 90.00
_cell_angle_beta 90.00
_cell_angle_gamma 90.00
loop_
_atom_site_label
_atom_site_type_symbol
_atom_site_fract_x
_atom_site_fract_y
_atom_site_fract_z
Ca1 Ca 0.000 0.000 0.000
Sb1 Sb 0.142 0.250 0.625
N1 N 0.000 0.000 0.500
# - energy relative to the elements, uncorrected (meV per atom) = 51
# - Fermi-level density of states (states/eV/cell) = 9.45